Density functional theory data (PBE-GGA) for Tb2NdHo3Te6 after structural relaxation.

- formation energy without anion corrections (eV/atom) = -1.2977
- calculated total energy (eV/atom) = -5.182

a b c (Å): 19.112 4.346 8.809
angles (deg): 90.00 103.74 90.00
Space group C2/m (No. 12)
Unique sites:
1 Tb 0.164 0.000 0.329 (multiplicity 4)
2 Nd 0.000 0.500 0.000 (multiplicity 2)
3 Ho 0.000 0.500 0.500 (multiplicity 2)
4 Ho 0.163 0.000 0.832 (multiplicity 4)
5 Te 0.000 0.000 0.259 (multiplicity 4)
6 Te 0.167 0.500 0.584 (multiplicity 4)
7 Te 0.172 0.500 0.082 (multiplicity 4)